1.
First-principles (PBE) data for a relaxed SrRuPtW2 crystal, as listed in Alexandria via LeMat-Bulk.

Calculated values
The total energy is -7.031 eV per atom.

Lattice parameters (Å, degrees): 4.678 4.678 5.493 90.00 90.00 90.00
Space group P4/mmm (No. 123)
Unique sites:
1 Sr 0.000 0.000 0.000 x1
2 Ru 0.000 0.000 0.500 x1
3 Pt 0.500 0.500 0.000 x1
4 W 0.000 0.500 0.500 x2



2.
First-principles (PBE) data for a relaxed TaRu2Pt crystal, as listed in Alexandria via LeMat-Bulk.

Calculated values
Its energy above the most stable polymorph in this dataset is 287 meV per atom. The total energy is -9.294 eV per atom.

Lattice parameters (Å, degrees): 2.864 3.787 5.661 90.00 90.00 90.00
Space group Pmmm (No. 47)
Unique sites:
1 Ta 0.000 0.000 0.000 x1
2 Ru 0.500 0.500 0.251 x2
3 Pt 0.000 0.000 0.500 x1



3.
First-principles (PBE) data for a relaxed TaRu3Pt crystal, as listed in Alexandria via LeMat-Bulk.

Calculated values
Its energy above the most stable polymorph in this dataset is 0 meV per atom. The total energy is -7.518 eV per atom.

Lattice parameters (Å, degrees): 4.657 4.657 4.657 90.00 90.00 90.00
Space group Pm-3m (No. 221)
Unique sites:
1 Ta 0.000 0.000 0.000 x1
2 Ru 0.000 0.000 0.500 x3
3 Pt 0.500 0.500 0.500 x1



4.
First-principles (PBE) data for a relaxed TaRu2Pt crystal, as listed in Alexandria via LeMat-Bulk.

Calculated values
Its energy above the most stable polymorph in this dataset is 175 meV per atom. The total energy is -9.406 eV per atom.

Lattice parameters (Å, degrees): 3.974 3.974 7.716 90.00 90.00 90.00
Space group I4/mmm (No. 139)
Unique sites:
1 Ta 0.000 0.000 0.000 x2
2 Ru 0.000 0.500 0.250 x4
3 Pt 0.000 0.000 0.500 x2



Going through the records in order, we get DOS at the Fermi energy values of 6.423, 4.984, 4.449, 8.351 states/eV per cell.
Going through the records in order, we get E_form values of 1550.1, -182.6, 1625.8, -294.8 meV/atom.
Going through the records in order, we get size of the total moment values of 0.0, 0.0, 3.3, 0.0 μB per formula unit.